Record 1
VASP calculation (GGA-PBE) on K2AcCd2Se4 after structural relaxation.

Cell lengths 4.3892, 8.4127, 8.7916 Å; angles 112.41, 104.46, 90.00 degrees
Last column: nearest neighbours and their distance in Å.
Element x y z (fractional)
Cd 0.6900 0.0152 0.3800  3 Se 2.72-2.79
Ac 0.0000 0.0000 0.0000  6 Se 3.12-3.15
Se 0.1978 0.2264 0.3956  2 Cd 2.79
Cd 0.3100 0.9848 0.6200  3 Se 2.72-2.79
Se 0.4706 0.2353 0.9413  1 Cd 2.72
Se 0.5294 0.7647 0.0587  1 Cd 2.72
Se 0.8022 0.7736 0.6044  2 Cd 2.79
K 0.1272 0.5605 0.2543  7 Se 3.47-3.70, 1 Cd 3.70
K 0.8728 0.4395 0.7457  7 Se 3.47-3.70, 1 Cd 3.70

Output
crystal system	monoclinic
raw formation energy	-107.54	kJ/mol of atoms

---

Record 2
VASP calculation (GGA-PBE) on KAcCdSe3 after structural relaxation.

Cell lengths 4.5147, 9.3276, 10.4266 Å; angles 102.65, 90.00, 90.00 degrees
Last column: nearest neighbours and their distance in Å.
Element x y z (fractional)
Se 0.2500 0.5611 0.8498  3 Ac 3.09, 2 K 3.40
Se 0.7500 0.2092 0.5262  3 Cd 2.75-2.77
Cd 0.7500 0.9167 0.3965  4 Se 2.63-2.77
Se 0.7500 0.4390 0.1502  3 Ac 3.09, 2 K 3.40
Se 0.7500 0.8968 0.1405  1 Cd 2.63
K 0.7500 0.8122 0.7922  5 Se 3.40-3.54
Ac 0.7500 0.3341 0.8480  6 Se 3.09-3.30
Ac 0.2500 0.6659 0.1520  6 Se 3.09-3.30
Se 0.2500 0.1032 0.8595  1 Cd 2.63
Se 0.2500 0.7908 0.4738  3 Cd 2.75-2.77
K 0.2500 0.1878 0.2078  5 Se 3.40-3.54
Cd 0.2500 0.0833 0.6035  4 Se 2.63-2.77

Output
crystal system	monoclinic
raw formation energy	-132.28	kJ/mol of atoms

---

Record 3
VASP calculation (GGA-PBE) on KAc2Cd2Sn2 after structural relaxation.

Cell lengths 5.1755, 5.1755, 11.2887 Å; angles 76.75, 76.75, 60.00 degrees
Last column: nearest neighbours and their distance in Å.
Element x y z (fractional)
Ac 0.8695 0.8695 0.3914  3 Cd 3.40, 3 Sn 3.41
Cd 0.4142 0.4142 0.7573  3 Sn 2.99
Sn 0.2530 0.2530 0.2410  3 Cd 2.99
Ac 0.1305 0.1305 0.6086  3 Cd 3.40, 3 Sn 3.41
K 0.0000 0.0000 0.0000  6 Sn 3.98, 6 Cd 3.99, 2 Ac 4.26
Sn 0.7470 0.7470 0.7590  3 Cd 2.99
Cd 0.5858 0.5858 0.2427  3 Sn 2.99

Output
crystal system	trigonal
DFT formation energy	-0.239	eV per atom

---

Record 4
VASP calculation (GGA-PBE) on K2AcCd2Te4 after structural relaxation.

Cell lengths 5.0620, 8.5503, 8.8932 Å; angles 108.76, 106.53, 90.00 degrees
Last column: nearest neighbours and their distance in Å.
Element x y z (fractional)
Cd 0.3245 0.9874 0.6491  4 Te 2.93-3.06
K 0.1310 0.5676 0.2620  7 Te 3.78-3.90, 1 Cd 3.98, 1 K 4.22
Te 0.4876 0.2522 0.9753  1 Cd 2.94
Te 0.2088 0.1947 0.4176  3 Cd 2.93-3.06
Ac 0.0000 0.0000 0.0000  6 Te 3.38-3.39
Te 0.5124 0.7478 0.0247  1 Cd 2.94
K 0.8690 0.4324 0.7380  7 Te 3.78-3.90, 1 Cd 3.98, 1 K 4.22
Cd 0.6755 0.0126 0.3509  4 Te 2.93-3.06
Te 0.7912 0.8053 0.5824  3 Cd 2.93-3.06

Output
crystal system	monoclinic
raw formation energy	-86.76	kJ/mol of atoms

---

Record 5
VASP calculation (GGA-PBE) on KAcCdTe3 after structural relaxation.

Cell lengths 4.7407, 9.8712, 10.9824 Å; angles 104.02, 90.00, 90.00 degrees
Last column: nearest neighbours and their distance in Å.
Element x y z (fractional)
Te 0.2500 0.5531 0.8369  3 Ac 3.31, 2 K 3.58
Te 0.2500 0.0875 0.8634  1 Cd 2.83
Te 0.2500 0.7837 0.4720  3 Cd 2.93-2.97
Cd 0.2500 0.0835 0.6053  4 Te 2.83-2.97
Cd 0.7500 0.9165 0.3947  4 Te 2.83-2.97
K 0.2500 0.2028 0.2294  5 Te 3.58-3.90
Te 0.7500 0.4469 0.1631  3 Ac 3.31, 2 K 3.58
Te 0.7500 0.9125 0.1366  1 Cd 2.83
K 0.7500 0.7972 0.7706  5 Te 3.58-3.90
Ac 0.2500 0.6755 0.1458  6 Te 3.31-3.48
Ac 0.7500 0.3245 0.8542  6 Te 3.31-3.48
Te 0.7500 0.2163 0.5280  3 Cd 2.93-2.97

Output
crystal system	monoclinic
raw formation energy	-107.33	kJ/mol of atoms

---

Record 6
VASP calculation (GGA-PBE) on KAcTlCd after structural relaxation.

Cell lengths 5.8185, 5.8185, 5.8185 Å; angles 60.00, 60.00, 60.00 degrees
Last column: nearest neighbours and their distance in Å.
Element x y z (fractional)
Tl 0.7500 0.7500 0.7500  4 Ac 3.56, 4 K 3.56
Cd 0.2500 0.2500 0.2500  4 Ac 3.56, 4 K 3.56
Ac 0.5000 0.5000 0.5000  4 Tl 3.56, 4 Cd 3.56
K 0.0000 0.0000 0.0000  4 Cd 3.56, 4 Tl 3.56

Output
crystal system	cubic
DFT formation energy	-0.130	eV per atom

---

Record 7
VASP calculation (GGA-PBE) on Ac2La7Cd2 after structural relaxation.

Cell lengths 6.4092, 6.4092, 9.8680 Å; angles 93.80, 93.80, 102.78 degrees
Last column: nearest neighbours and their distance in Å.
Element x y z (fractional)
Ac 0.2836 0.7164 0.5000  4 Cd 3.47-3.62, 2 La 3.62
La 0.1836 0.5520 0.1395  1 Cd 3.40, 7 La 3.43-3.69, 1 Ac 3.62
La 0.7448 0.7448 0.2589  2 Cd 3.39-3.76, 5 La 3.43-3.62
La 0.0000 0.0000 0.0000  10 La 3.43-3.65, 2 Cd 3.65
Cd 0.1629 0.1629 0.3596  5 La 3.39-3.76, 4 Ac 3.47-3.62
Cd 0.8371 0.8371 0.6404  5 La 3.39-3.76, 4 Ac 3.47-3.62
La 0.8164 0.4480 0.8605  1 Cd 3.40, 7 La 3.43-3.69, 1 Ac 3.62
La 0.5520 0.1836 0.1395  1 Cd 3.40, 7 La 3.43-3.69, 1 Ac 3.62
La 0.4480 0.8164 0.8605  1 Cd 3.40, 7 La 3.43-3.69, 1 Ac 3.62
La 0.2552 0.2552 0.7411  2 Cd 3.39-3.76, 5 La 3.43-3.62
Ac 0.7164 0.2836 0.5000  4 Cd 3.47-3.62, 2 La 3.62

Output
energy relative to the lowest polymorph listed for this composition	0	meV per atom
crystal system	monoclinic
DFT formation energy	-0.028	eV per atom

---

Record 8
VASP calculation (GGA-PBE) on Ac8La2Cd after structural relaxation.

Cell lengths 6.1081, 8.1997, 10.2795 Å; angles 108.55, 107.28, 90.00 degrees
Last column: nearest neighbours and their distance in Å.
Element x y z (fractional)
La 0.8125 0.3289 0.6251  9 Ac 3.54-3.88
Ac 0.6611 0.9365 0.3222  1 Cd 3.37, 1 La 3.58, 1 Ac 3.74
Ac 0.1850 0.2372 0.3701  3 La 3.54-3.86, 4 Ac 3.74-3.93
Ac 0.0168 0.7734 0.0336  2 Cd 3.65, 1 La 3.71, 6 Ac 3.91-4.08
Ac 0.9832 0.2266 0.9664  2 Cd 3.65, 1 La 3.71, 6 Ac 3.91-4.08
Ac 0.3940 0.5669 0.7881  1 Cd 3.47, 2 La 3.69
Cd 0.5000 0.0000 0.0000  8 Ac 3.37-3.65
La 0.1875 0.6711 0.3749  9 Ac 3.54-3.88
Ac 0.8150 0.7628 0.6299  3 La 3.54-3.86, 4 Ac 3.74-3.93
Ac 0.3389 0.0635 0.6778  1 Cd 3.37, 1 La 3.58, 1 Ac 3.74
Ac 0.6060 0.4331 0.2119  1 Cd 3.47, 2 La 3.69

Output
energy relative to the lowest polymorph listed for this composition	43	meV per atom
crystal system	monoclinic
DFT formation energy	0.038	eV per atom

---

Record 9
VASP calculation (GGA-PBE) on Ac4La5Cd after structural relaxation.

Cell lengths 3.8824, 3.8824, 25.5903 Å; angles 90.00, 90.00, 90.00 degrees
Last column: nearest neighbours and their distance in Å.
Element x y z (fractional)
Ac 0.0000 0.0000 0.8169  8 La 3.82-3.85, 4 Ac 3.88
La 0.5000 0.5000 0.2883  8 Ac 3.85-3.87, 4 La 3.88
La 0.5000 0.5000 0.0793  4 Cd 3.41, 4 Ac 3.82
Cd 0.0000 0.0000 0.0000  8 La 3.41
La 0.5000 0.5000 0.7117  8 Ac 3.85-3.87, 4 La 3.88
Ac 0.0000 0.0000 0.1831  8 La 3.82-3.85, 4 Ac 3.88
Ac 0.0000 0.0000 0.3947  8 La 3.85-3.87, 4 Ac 3.88
La 0.5000 0.5000 0.9207  4 Cd 3.41, 4 Ac 3.82
La 0.5000 0.5000 0.5000  8 Ac 3.85, 4 La 3.88
Ac 0.0000 0.0000 0.6053  8 La 3.85-3.87, 4 Ac 3.88

Output
crystal system	tetragonal
DFT formation energy	-0.058	eV per atom

---

Record 10
VASP calculation (GGA-PBE) on Ac2La7Cd2 after structural relaxation.

Cell lengths 8.4603, 7.0243, 7.0243 Å; angles 95.27, 81.45, 81.45 degrees
Last column: nearest neighbours and their distance in Å.
Element x y z (fractional)
La 0.8370 0.8817 0.4703  2 Cd 3.28-3.38, 2 La 3.48-3.60
La 0.5245 0.3109 0.3109  1 Cd 3.12
Ac 0.5000 0.8185 0.1815  8 La 3.54-3.79, 1 Ac 3.77
La 0.0000 0.0000 0.0000  4 La 3.60, 2 Cd 3.67
La 0.4755 0.6891 0.6891  1 Cd 3.12
La 0.1630 0.5297 0.1183  2 Cd 3.28-3.38, 2 La 3.48-3.60
Cd 0.1389 0.6043 0.6043  5 La 3.12-3.38, 1 Cd 3.39
Ac 0.5000 0.1815 0.8185  8 La 3.54-3.79, 1 Ac 3.77
Cd 0.8611 0.3957 0.3957  5 La 3.12-3.38, 1 Cd 3.39
La 0.8370 0.4703 0.8817  2 Cd 3.28-3.38, 2 La 3.48-3.60
La 0.1630 0.1183 0.5297  2 Cd 3.28-3.38, 2 La 3.48-3.60

Output
energy relative to the lowest polymorph listed for this composition	52	meV per atom
crystal system	monoclinic
DFT formation energy	0.025	eV per atom

---

Record 11
VASP calculation (GGA-PBE) on AcLa5Cd4 after structural relaxation.

Cell lengths 3.9244, 3.9244, 21.0566 Å; angles 90.00, 90.00, 90.00 degrees
Last column: nearest neighbours and their distance in Å.
Element x y z (fractional)
La 0.5000 0.5000 0.5000  8 Cd 3.41
Cd 0.0000 0.0000 0.7825  8 La 3.39-3.43
Cd 0.0000 0.0000 0.2175  8 La 3.39-3.43
La 0.5000 0.5000 0.6871  8 Cd 3.40-3.43
La 0.5000 0.5000 0.3129  8 Cd 3.40-3.43
Cd 0.0000 0.0000 0.5938  8 La 3.40-3.41
Ac 0.0000 0.0000 0.0000  8 La 3.82, 4 Ac 3.92
Cd 0.0000 0.0000 0.4062  8 La 3.40-3.41
La 0.5000 0.5000 0.1247  4 Cd 3.39
La 0.5000 0.5000 0.8753  4 Cd 3.39

Output
crystal system	tetragonal
DFT formation energy	-0.263	eV per atom